[1]
Computed, not measured: Li2CaSi after structural relaxation at the PBE-GGA level of DFT.

Lattice parameters (Å, degrees): 4.5246 4.5246 14.4677 90.00 90.00 120.00
With the nearest neighbours (Å) after each atom.
Space group R3m (No. 160, hexagonal axes)
Asymmetric unit:
Li 0.0000 0.0000 0.0000 [3 per cell]  3 Li 2.70, 1 Ca 2.78, 3 Si 2.80
Li 0.0000 0.0000 0.2849 [3 per cell]  3 Si 2.63, 3 Li 2.70
Ca 0.0000 0.0000 0.8076 [3 per cell]  1 Li 2.78, 1 Si 3.06
Si 0.0000 0.0000 0.5963 [3 per cell]  6 Li 2.63-2.80

Computed properties:
The total energy is -3.082 eV per atom.

---

[2]
Computed, not measured: In4P5 after structural relaxation at the PBE-GGA level of DFT.

Lattice parameters (Å, degrees): 12.7492 12.7492 3.2061 90.00 90.00 90.00
With the nearest neighbours (Å) after each atom.
Space group I4/mmm (No. 139)
Asymmetric unit:
In 0.0000 0.2184 0.0000 [8 per cell]  5 P 2.78-3.11
P 0.0000 0.0000 0.0000 [2 per cell]  4 In 2.78
P 0.2092 0.2092 0.5000 [8 per cell]  2 P 2.18

Computed properties:
Its offset from the most stable computed form is 0.000 eV per atom.

---

[3]
Computed, not measured: Sn2PbAu2 after structural relaxation at the PBE-GGA level of DFT.

Lattice parameters (Å, degrees): 8.4453 8.4453 3.4360 90.00 90.00 90.00
With the nearest neighbours (Å) after each atom.
Space group P4/mbm (No. 127)
Asymmetric unit:
Sn 0.1407 0.3593 0.0000 [4 per cell]  6 Au 2.98-3.04, 2 Pb 3.26
Pb 0.0000 0.0000 0.0000 [2 per cell]  4 Sn 3.26, 2 Pb 3.44, 8 Au 3.62
Au 0.1555 0.6555 0.5000 [4 per cell]  6 Sn 2.98-3.04

Computed properties:
The total energy is -3.645 eV per atom.

---

[4]
Computed, not measured: Sr3Ca2P4 after structural relaxation at the PBE-GGA level of DFT.

Lattice parameters (Å, degrees): 16.3189 4.7434 6.7421 90.00 107.30 90.00
With the nearest neighbours (Å) after each atom.
Space group C2/m (No. 12)
Asymmetric unit:
Sr 0.0000 0.0000 0.0000 [2 per cell]  6 P 3.26-3.35, 4 Ca 3.60
Sr 0.1385 0.0000 0.5597 [4 per cell]  1 P 2.95
Ca 0.1671 0.5000 0.0095 [4 per cell]  4 P 2.73-2.92
P 0.0058 0.5000 0.6733 [4 per cell]  1 P 2.29
P 0.2133 0.0000 0.2121 [4 per cell]  3 Ca 2.73-2.79, 1 Sr 2.95

Computed properties:
The total energy is -4.405 eV per atom.

---

Repeat the third record exactly.
Computed, not measured: Sn2PbAu2 after structural relaxation at the PBE-GGA level of DFT.

Lattice parameters (Å, degrees): 8.4453 8.4453 3.4360 90.00 90.00 90.00
With the nearest neighbours (Å) after each atom.
Space group P4/mbm (No. 127)
Asymmetric unit:
Sn 0.1407 0.3593 0.0000 [4 per cell]  6 Au 2.98-3.04, 2 Pb 3.26
Pb 0.0000 0.0000 0.0000 [2 per cell]  4 Sn 3.26, 2 Pb 3.44, 8 Au 3.62
Au 0.1555 0.6555 0.5000 [4 per cell]  6 Sn 2.98-3.04

Computed properties:
The total energy is -3.645 eV per atom.